Record 1
BeSi2Br: optimized geometry, GGA-PBE.

abc: 4.8736 4.8736 2.8862
angles: 90.00 90.00 90.00
Closest atoms and distances in Å follow each position.
Sites, in units of the cell vectors:
Si 0.5000 0.5000 0.0000  4 Br 2.83, 4 Be 2.83, 2 Si 2.89
Si 0.0000 0.0000 0.0000  4 Br 2.83, 4 Be 2.83, 2 Si 2.89
Br 0.0000 0.5000 0.5000  8 Si 2.83, 2 Br 2.89
Be 0.5000 0.0000 0.5000  8 Si 2.83, 2 Be 2.89

DFT total energy = -12.63 eV/cell



Record 2
CeNdSi2: optimized geometry, GGA-PBE.

abc: 4.4398 3.9184 5.8992
angles: 90.00 112.10 90.00
Closest atoms and distances in Å follow each position.
Sites, in units of the cell vectors:
Si 0.1525 0.5000 0.8441  2 Si 2.50
Si 0.0111 0.0000 0.5610  2 Si 2.50
Ce 0.4431 0.5000 0.4249  7 Si 3.05-3.19
Nd 0.7243 0.0000 0.9879  7 Si 3.06-3.22

DFT total energy = -24.32 eV/cell



Record 3
Ba2As3Pt12Rh: optimized geometry, GGA-PBE.

abc: 8.1214 8.1214 8.1214
angles: 62.41 62.41 62.41
Closest atoms and distances in Å follow each position.
Sites, in units of the cell vectors:
Pt 0.3518 0.8933 0.3518  2 As 2.42
Pt 0.8843 0.3673 0.8843  1 As 2.37, 1 Rh 2.51
Pt 0.8843 0.8843 0.3673  1 As 2.37, 1 Rh 2.51
Pt 0.3673 0.8843 0.8843  1 As 2.37, 1 Rh 2.51
Pt 0.1157 0.6327 0.1157  1 As 2.37, 1 Rh 2.51
Pt 0.3518 0.3518 0.8933  2 As 2.42
Pt 0.6327 0.1157 0.1157  1 As 2.37, 1 Rh 2.51
Pt 0.8933 0.3518 0.3518  2 As 2.42
Pt 0.1067 0.6482 0.6482  2 As 2.42
Pt 0.1157 0.1157 0.6327  1 As 2.37, 1 Rh 2.51
Pt 0.6482 0.1067 0.6482  2 As 2.42
Pt 0.6482 0.6482 0.1067  2 As 2.42
Rh 0.0000 0.0000 0.0000  6 Pt 2.51
Ba 0.3802 0.3802 0.3802  6 Pt 3.09-3.14
Ba 0.6198 0.6198 0.6198  6 Pt 3.09-3.14
As 0.0000 0.0000 0.5000  6 Pt 2.37-2.42
As 0.5000 0.0000 0.0000  6 Pt 2.37-2.42
As 0.0000 0.5000 0.0000  6 Pt 2.37-2.42

E_form = -0.029 eV/atom



Record 4
KTl2S2: optimized geometry, GGA-PBE.

abc: 5.4048 5.4048 6.3240
angles: 64.70 64.70 90.00
Closest atoms and distances in Å follow each position.
Sites, in units of the cell vectors:
S 0.7500 0.2500 0.5000  4 Tl 2.87
S 0.2500 0.7500 0.5000  4 Tl 2.87
K 0.0000 0.0000 0.0000  2 Tl 3.50, 8 S 3.69
Tl 0.3472 0.3472 0.3056  4 S 2.87, 1 Tl 3.08
Tl 0.6528 0.6528 0.6944  4 S 2.87, 1 Tl 3.08

DFT total energy = -16.34 eV/cell



Record 5
CePr3Nd4Se8: optimized geometry, GGA-PBE.

abc: 8.4844 8.4805 8.4820
angles: 119.99 120.01 90.00
Closest atoms and distances in Å follow each position.
Sites, in units of the cell vectors:
Se 0.2490 0.2470 0.4980  3 Nd 2.99, 3 Pr 3.01
Se 0.7534 0.7506 0.0020  1 Ce 2.98, 3 Nd 2.99-3.02, 2 Pr 3.01
Se 0.7514 0.2494 0.9980  1 Ce 2.98, 3 Nd 2.99-3.02, 2 Pr 3.01
Se 0.7510 0.7530 0.5020  3 Nd 2.99, 3 Pr 3.01
Se 0.7514 0.2494 0.5028  1 Ce 2.98, 3 Nd 2.99-3.02, 2 Pr 3.01
Se 0.2486 0.7506 0.0020  1 Ce 2.98, 3 Nd 2.99-3.02, 2 Pr 3.01
Se 0.2466 0.2494 0.9980  1 Ce 2.98, 3 Nd 2.99-3.02, 2 Pr 3.01
Se 0.2486 0.7506 0.4972  1 Ce 2.98, 3 Nd 2.99-3.02, 2 Pr 3.01
Nd 0.5000 0.0000 0.5000  6 Se 2.99
Nd 0.0000 0.0000 0.5000  6 Se 2.99
Nd 0.5000 0.0000 0.0000  6 Se 3.02
Nd 0.0000 0.0000 0.0000  6 Se 2.99
Pr 0.5000 0.5000 0.0000  6 Se 3.01
Pr 0.0000 0.5000 0.5000  6 Se 3.01
Pr 0.5000 0.5000 0.5000  6 Se 3.01
Ce 0.0000 0.5000 0.0000  6 Se 2.98

DFT total energy = -96.64 eV/cell



Record 6
Cr2GaSn: optimized geometry, GGA-PBE.

abc: 3.8564 3.8564 9.5304
angles: 78.33 78.33 90.00
Closest atoms and distances in Å follow each position.
Sites, in units of the cell vectors:
Sn 0.0000 0.0000 0.0000  4 Ga 2.73, 4 Cr 2.79
Sn 0.7500 0.2500 0.5000  4 Ga 2.73, 4 Cr 2.79
Ga 0.2500 0.7500 0.5000  4 Cr 2.56, 4 Sn 2.73
Ga 0.5000 0.5000 0.0000  4 Cr 2.56, 4 Sn 2.73
Cr 0.2082 0.6250 0.2500  2 Cr 2.32, 2 Ga 2.56
Cr 0.5418 0.1250 0.2500  2 Cr 2.32, 2 Ga 2.56
Cr 0.8750 0.7918 0.7500  2 Cr 2.32, 2 Ga 2.56
Cr 0.3750 0.4582 0.7500  2 Cr 2.32, 2 Ga 2.56

E_form = 0.613 eV/atom



Record 7
Sm2CoSi3Ir4: optimized geometry, GGA-PBE.

abc: 4.1319 4.1319 9.9962
angles: 90.00 90.00 90.00
Closest atoms and distances in Å follow each position.
Sites, in units of the cell vectors:
Si 0.5000 0.0000 0.8704  5 Ir 2.40-2.44
Si 0.0000 0.5000 0.1296  5 Ir 2.40-2.44
Si 0.0000 0.0000 0.5000  4 Ir 2.44
Ir 0.5000 0.5000 0.0000  4 Si 2.44
Ir 0.0000 0.5000 0.3693  3 Si 2.40-2.44, 2 Co 2.44
Ir 0.5000 0.0000 0.6307  3 Si 2.40-2.44, 2 Co 2.44
Ir 0.0000 0.0000 0.0000  4 Si 2.44
Sm 0.5000 0.0000 0.2535  8 Ir 3.14-3.27, 6 Si 3.17-3.22, 2 Co 3.22
Sm 0.0000 0.5000 0.7465  8 Ir 3.14-3.27, 6 Si 3.17-3.22, 2 Co 3.22
Co 0.5000 0.5000 0.5000  4 Ir 2.44

DFT total energy = -77.22 eV/cell



Record 8
Hg2MoAs: optimized geometry, GGA-PBE.

abc: 4.8023 4.8023 4.8023
angles: 60.00 60.00 60.00
Closest atoms and distances in Å follow each position.
Sites, in units of the cell vectors:
Hg 0.2500 0.2500 0.2500  4 Hg 2.94, 4 As 2.94
Hg 0.0000 0.0000 0.0000  4 Mo 2.94, 4 Hg 2.94
As 0.5000 0.5000 0.5000  4 Hg 2.94, 4 Mo 2.94
Mo 0.7500 0.7500 0.7500  4 Hg 2.94, 4 As 2.94

E_form = 0.729 eV/atom



Record 9
LaCu4Si: optimized geometry, GGA-PBE.

abc: 5.1460 5.1460 5.1460
angles: 60.00 60.00 60.00
Closest atoms and distances in Å follow each position.
Sites, in units of the cell vectors:
Si 0.0000 0.0000 0.0000  12 Cu 3.01, 4 La 3.15
Cu 0.6263 0.1210 0.6263  6 Cu 2.55-2.60
Cu 0.1210 0.6263 0.6263  6 Cu 2.55-2.60
Cu 0.6263 0.6263 0.1210  6 Cu 2.55-2.60
Cu 0.6263 0.6263 0.6263  6 Cu 2.55-2.60
La 0.2500 0.2500 0.2500  12 Cu 3.02, 4 Si 3.15

DFT total energy = -27.21 eV/cell



Record 10
Mn2CuNiHg: optimized geometry, GGA-PBE.

abc: 4.9834 4.7325 4.9834
angles: 90.00 90.00 90.00
Closest atoms and distances in Å follow each position.
Sites, in units of the cell vectors:
Cu 0.5000 0.5000 0.5000  8 Mn 3.44, 4 Ni 3.52
Hg 0.0000 0.0000 0.0000  2 Ni 2.37, 4 Mn 2.49
Mn 0.5000 0.0000 0.0000  2 Hg 2.49
Mn 0.0000 0.0000 0.5000  2 Hg 2.49
Ni 0.0000 0.5000 0.0000  2 Hg 2.37

E_form = 1.418 eV/atom



Record 11
TaCrCd4: optimized geometry, GGA-PBE.

abc: 5.5286 5.5286 5.5286
angles: 60.00 60.00 60.00
Closest atoms and distances in Å follow each position.
Sites, in units of the cell vectors:
Ta 0.0000 0.0000 0.0000  12 Cd 3.24, 4 Cr 3.39
Cd 0.3750 0.3750 0.8749  6 Cd 2.76-2.77
Cd 0.3750 0.3750 0.3750  6 Cd 2.76-2.77
Cd 0.8749 0.3750 0.3750  6 Cd 2.76-2.77
Cd 0.3750 0.8749 0.3750  6 Cd 2.76-2.77
Cr 0.7500 0.7500 0.7500  12 Cd 3.24, 4 Ta 3.39

E_form = 0.586 eV/atom



Record 12
RbRu2RhO8: optimized geometry, GGA-PBE.

abc: 5.1519 5.1519 9.0041
angles: 90.00 90.00 120.00
Closest atoms and distances in Å follow each position.
Sites, in units of the cell vectors:
O 0.3099 0.9795 0.6297  1 Ru 1.81, 1 Rh 2.02
O 0.6901 0.0205 0.3703  1 Ru 1.81, 1 Rh 2.02
O 0.3333 0.6667 0.9014  1 Ru 1.76
O 0.9795 0.6696 0.3703  1 Ru 1.81, 1 Rh 2.02
O 0.6696 0.6901 0.6297  1 Ru 1.81, 1 Rh 2.02
O 0.6667 0.3333 0.0986  1 Ru 1.76
O 0.0205 0.3304 0.6297  1 Ru 1.81, 1 Rh 2.02
O 0.3304 0.3099 0.3703  1 Ru 1.81, 1 Rh 2.02
Ru 0.6667 0.3333 0.2938  4 O 1.76-1.81
Ru 0.3333 0.6667 0.7062  4 O 1.76-1.81
Rb 0.0000 0.0000 0.0000  6 O 3.10
Rh 0.0000 0.0000 0.5000  6 O 2.02

DFT total energy = -77.35 eV/cell



Record 13
LaPm3In: optimized geometry, GGA-PBE.

abc: 5.6002 6.3981 9.3876
angles: 90.00 72.66 90.00
Closest atoms and distances in Å follow each position.
Sites, in units of the cell vectors:
Pm 0.9833 0.7961 0.7519  6 Pm 3.32-3.63, 2 In 3.48, 2 La 3.70-3.71
Pm 0.5794 0.5563 0.5598  3 La 3.26-3.51, 5 Pm 3.32-3.63, 2 In 3.39
Pm 0.2512 0.1943 0.2166  3 La 3.24-3.57, 4 In 3.33-3.49, 1 Pm 3.61
Pm 0.4463 0.0563 0.8256  3 La 3.26-3.51, 5 Pm 3.32-3.63, 2 In 3.39
Pm 0.7744 0.6942 0.1689  3 La 3.24-3.57, 4 In 3.33-3.49, 1 Pm 3.61
Pm 0.0424 0.2961 0.6336  6 Pm 3.32-3.63, 2 In 3.48, 2 La 3.70-3.71
La 0.3842 0.5358 0.9492  6 Pm 3.24-3.57, 2 In 3.59-3.60
La 0.6416 0.0359 0.4362  6 Pm 3.24-3.57, 2 In 3.59-3.60
In 0.8516 0.1954 0.0152  8 Pm 3.33-3.49, 2 La 3.59-3.60
In 0.1739 0.6956 0.3704  8 Pm 3.33-3.49, 2 La 3.59-3.60

E_form = -0.119 eV/atom



Record 14
Be2IrRh: optimized geometry, GGA-PBE.

abc: 2.8659 4.5375 3.5882
angles: 90.00 90.00 90.00
Closest atoms and distances in Å follow each position.
Sites, in units of the cell vectors:
Ir 0.5000 0.0000 0.5000  4 Be 2.30
Be 0.0000 0.0000 0.0000  4 Ir 2.30
Be 0.5000 0.5000 0.0000  4 Rh 2.30
Rh 0.0000 0.5000 0.5000  4 Be 2.30

E_form = -0.306 eV/atom



Record 15
CoSiS2Cl: optimized geometry, GGA-PBE.

abc: 4.4530 4.4530 4.5729
angles: 90.00 90.00 90.00
Closest atoms and distances in Å follow each position.
Sites, in units of the cell vectors:
Co 0.0000 0.0000 0.0000  4 S 2.23, 2 Cl 2.29
S 0.5000 0.0000 0.0000  2 Co 2.23
S 0.0000 0.5000 0.0000  2 Co 2.23
Si 0.5000 0.5000 0.5000  4 Cl 3.15, 8 S 3.19
Cl 0.0000 0.0000 0.5000  2 Co 2.29

DFT total energy = -20.77 eV/cell



Record 16
UCl2F2: optimized geometry, GGA-PBE.

abc: 5.8012 6.8305 6.0180
angles: 99.96 90.00 115.13
Closest atoms and distances in Å follow each position.
Sites, in units of the cell vectors:
F 0.9658 0.8141 0.5162  2 U 2.30-2.34, 1 F 2.44
F 0.0342 0.1859 0.4838  2 U 2.30-2.34, 1 F 2.44
F 0.1517 0.1859 0.9838  2 U 2.30-2.34, 1 F 2.44
F 0.8483 0.8141 0.0162  2 U 2.30-2.34, 1 F 2.44
Cl 0.5568 0.2527 0.6182  2 U 2.74-2.77, 1 F 2.96
Cl 0.6959 0.2527 0.1182  2 U 2.74-2.77, 1 F 2.96
Cl 0.3041 0.7473 0.8818  2 U 2.74-2.77, 1 F 2.96
Cl 0.4432 0.7473 0.3818  2 U 2.74-2.77, 1 F 2.96
U 0.7806 0.0000 0.7500  4 F 2.30-2.34
U 0.2194 0.0000 0.2500  4 F 2.30-2.34

DFT total energy = -63.21 eV/cell



Record 17
TaTlTe2Rh: optimized geometry, GGA-PBE.

abc: 5.5511 5.2328 5.5511
angles: 90.00 90.00 90.00
Closest atoms and distances in Å follow each position.
Sites, in units of the cell vectors:
Ta 0.0000 0.5000 0.0000  2 Tl 2.62
Rh 0.5000 0.5000 0.5000  8 Te 3.81, 4 Ta 3.93
Te 0.0000 0.0000 0.5000  2 Tl 2.78
Te 0.5000 0.0000 0.0000  2 Tl 2.78
Tl 0.0000 0.0000 0.0000  2 Ta 2.62, 4 Te 2.78

DFT total energy = -17.65 eV/cell



Record 18
PmHo4TmSc2: optimized geometry, GGA-PBE.

abc: 13.2113 6.9763 13.2109
angles: 121.86 149.33 74.76
Closest atoms and distances in Å follow each position.
Sites, in units of the cell vectors:
Ho 0.3344 0.4168 0.5856  3 Sc 3.44-3.46, 1 Pm 3.45, 6 Ho 3.46-3.53, 2 Tm 3.47
Ho 0.6672 0.0775 0.4111  4 Sc 3.40-3.51, 6 Ho 3.48-3.50, 1 Pm 3.51, 1 Tm 3.51
Ho 0.1691 0.0830 0.9153  2 Sc 3.41-3.42, 2 Pm 3.43-3.49, 6 Ho 3.47-3.51, 2 Tm 3.48-3.50
Ho 0.3328 0.9225 0.5889  4 Sc 3.40-3.51, 6 Ho 3.48-3.50, 1 Pm 3.51, 1 Tm 3.51
Ho 0.6656 0.5833 0.4144  3 Sc 3.44-3.46, 1 Pm 3.45, 6 Ho 3.46-3.53, 2 Tm 3.47
Ho 0.8299 0.4173 0.0817  3 Sc 3.43-3.46, 2 Pm 3.45-3.47, 6 Ho 3.46-3.53, 1 Tm 3.48
Ho 0.8309 0.9170 0.0847  2 Sc 3.41-3.42, 2 Pm 3.43-3.49, 6 Ho 3.47-3.51, 2 Tm 3.48-3.50
Ho 0.1701 0.5827 0.9183  3 Sc 3.43-3.46, 2 Pm 3.45-3.47, 6 Ho 3.46-3.53, 1 Tm 3.48
Pm 0.0000 0.5000 0.0000  6 Ho 3.47-3.51, 2 Sc 3.49, 4 Tm 3.49
Pm 0.0000 0.5000 0.5000  6 Ho 3.43-3.45, 6 Sc 3.49
Tm 0.5000 0.5000 0.5000  6 Ho 3.47-3.51, 2 Tm 3.49, 2 Sc 3.49, 2 Pm 3.49
Tm 0.0000 0.0000 0.0000  6 Ho 3.47-3.50, 2 Tm 3.49, 2 Pm 3.49, 2 Sc 3.49
Sc 0.5000 0.0000 0.5000  6 Ho 3.46-3.51, 2 Pm 3.49, 4 Tm 3.49
Sc 0.5000 0.0000 0.0000  6 Ho 3.40-3.45, 2 Pm 3.49, 4 Sc 3.49
Sc 0.0000 0.0000 0.5000  6 Ho 3.40-3.44, 4 Sc 3.49, 2 Pm 3.49
Sc 0.5000 0.5000 0.0000  6 Ho 3.40-3.44, 4 Sc 3.49, 2 Pm 3.49

E_form = 0.032 eV/atom



Record 19
Y6HgSe3S2: optimized geometry, GGA-PBE.

abc: 3.9893 8.3502 9.1240
angles: 103.51 102.63 90.00
Closest atoms and distances in Å follow each position.
Sites, in units of the cell vectors:
Y 0.0052 0.2602 0.0103  1 S 2.84, 3 Se 2.84-2.96, 2 Hg 2.93
Y 0.3308 0.9012 0.6616  2 S 2.82, 3 Se 2.85-2.99, 1 Hg 2.93
Y 0.3295 0.4286 0.6589  3 S 2.77-2.79, 3 Se 2.95-2.96
Y 0.6705 0.5714 0.3411  3 S 2.77-2.79, 3 Se 2.95-2.96
Y 0.6692 0.0988 0.3384  2 S 2.82, 3 Se 2.85-2.99, 1 Hg 2.93
Y 0.9948 0.7398 0.9897  1 S 2.84, 3 Se 2.84-2.96, 2 Hg 2.93
Se 0.5000 0.5000 0.0000  6 Y 2.84-2.95
Se 0.1660 0.8302 0.3321  6 Y 2.85-2.99
Se 0.8340 0.1698 0.6679  6 Y 2.85-2.99
S 0.8307 0.6629 0.6613  6 Y 2.77-2.84
S 0.1693 0.3371 0.3387  6 Y 2.77-2.84
Hg 0.5000 0.0000 0.0000  6 Y 2.93

DFT total energy = -77.11 eV/cell



Record 20
RbZrSe2O8: optimized geometry, GGA-PBE.

abc: 5.4002 5.4002 8.5447
angles: 87.26 87.26 64.95
Closest atoms and distances in Å follow each position.
Sites, in units of the cell vectors:
Rb 0.0000 0.0000 0.5000  6 O 3.04-3.10
O 0.7724 0.7724 0.0539  1 Se 1.74
O 0.6912 0.6912 0.3817  1 Se 1.65
O 0.2276 0.2276 0.9461  1 Se 1.74
O 0.2767 0.7760 0.1790  1 Se 1.76
O 0.7760 0.2767 0.1790  1 Se 1.76
O 0.7233 0.2240 0.8210  1 Se 1.76
O 0.3088 0.3088 0.6183  1 Se 1.65
O 0.2240 0.7233 0.8210  1 Se 1.76
Se 0.6330 0.6330 0.2019  4 O 1.65-1.76
Se 0.3670 0.3670 0.7981  4 O 1.65-1.76
Zr 0.0000 0.0000 0.0000  6 O 2.10-2.13

DFT total energy = -73.11 eV/cell